# 1
Crystalline Dy6Te3PRh2 at its relaxed geometry. Source: the Alexandria database, functional GGA-PBE.

The raw formation energy is -1.177 eV/atom. The crystal system is monoclinic.

The structure belongs to space group C2/m (No. 12); the cell edges are 7.176, 12.436 and 7.530 Å and the angles 90.00°, 108.72° and 90.00°. The inequivalent atoms are Dy at (0.234, 0.000, 0.209), Dy at (0.237, 0.332, 0.209), Te at (0.000, 0.000, 0.500), Te at (0.000, 0.335, 0.500), P at (0.000, 0.500, 0.000) and Rh at (0.000, 0.167, 0.000).

=====

# 2
Crystalline Dy8Te3PRh3 at its relaxed geometry. Source: the Alexandria database, functional GGA-PBE.

The raw formation energy is -1.012 eV/atom. The crystal system is trigonal.

The structure belongs to space group R-3m (No. 166, hexagonal axes); the cell edges are 8.2404, 8.2404 and 21.2844 Å and the angles 90.00°, 90.00° and 120.00°. The inequivalent atoms are Dy at (0.0000, 0.0000, 0.2368), Dy at (0.0039, 0.5019, 0.7646), Te at (0.0000, 0.5000, 0.0000), P at (0.0000, 0.0000, 0.5000) and Rh at (0.0000, 0.5000, 0.5000).

=====

# 3
Crystalline DyThP2Rh5 at its relaxed geometry. Source: the Alexandria database, functional GGA-PBE.

The formation energy comes out at -798 meV/atom. The crystal system is tetragonal.

The structure belongs to space group P4/mmm (No. 123); the cell edges are 4.079, 4.079 and 10.595 Å and the angles 90.00°, 90.00° and 90.00°. The inequivalent atoms are Dy at (0.000, 0.000, 0.000), Th at (0.000, 0.000, 0.500), P at (0.500, 0.500, 0.285), Rh at (0.000, 0.500, 0.197) and Rh at (0.500, 0.500, 0.500).

=====

no.,spin magnetization (μB/f.u.)
1,0.00
2,0.00
3,0.00